# Be3Pt4 (PBE, optimized geometry)
# Theoretical density ... 15.224 g/cm³
# Energy ... -5.75 eV per atom
data_Be3Pt4
_chemical_formula_sum 'Be9 Pt12'
_symmetry_space_group_name_H-M 'R -3 m'
_symmetry_Int_Tables_number 166
_symmetry_space_group_name_Hall '-R 3 2"'
_cell_length_a 3.9549
_cell_length_b 3.9549
_cell_length_c 19.5036
_cell_angle_alpha 90.00
_cell_angle_beta 90.00
_cell_angle_gamma 120.00
loop_
_atom_site_label
_atom_site_type_symbol
_atom_site_fract_x
_atom_site_fract_y
_atom_site_fract_z
Be1 Be 0.0000 0.0000 0.0000
Be2 Be 0.0000 0.0000 0.2473
Pt1 Pt 0.0000 0.0000 0.1253
Pt2 Pt 0.0000 0.0000 0.3750

# AcPmDyEr (PBE, optimized geometry)
# Theoretical density ... 8.296 g/cm³
# Energy ... -4.44 eV per atom
data_AcPmDyEr
_chemical_formula_sum 'Ac2 Pm2 Dy2 Er2'
_symmetry_space_group_name_H-M 'C 1 m 1'
_symmetry_Int_Tables_number 8
_cell_length_a 6.394
_cell_length_b 3.688
_cell_length_c 12.104
_cell_angle_alpha 90.00
_cell_angle_beta 100.11
_cell_angle_gamma 90.00
loop_
_symmetry_equiv_pos_as_xyz
'x,y,z'
'x,-y,z'
'x+1/2,y+1/2,z'
'x+1/2,-y+1/2,z'
loop_
_atom_site_label
_atom_site_type_symbol
_atom_site_fract_x
_atom_site_fract_y
_atom_site_fract_z
Ac1 Ac 0.000 0.000 0.000
Pm1 Pm 0.243 0.000 0.732
Dy1 Dy 0.418 0.000 0.259
Er1 Er 0.331 0.500 0.494